# 1
VASP calculation (PBE) on ZnAg2Ru after structural relaxation.

The structure belongs to space group P4mm (No. 99); the cell edges are 2.832, 2.832 and 7.967 Å and the angles 90.00°, 90.00° and 90.00°. The distinct sites, in fractional coordinates, are Zn at (0.000, 0.000, 0.000), Ag at (0.000, 0.000, 0.522), Ag at (0.500, 0.500, 0.247) and Ru at (0.500, 0.500, 0.781).

Its formation energy is 0.20 eV per atom. As for the density: 9.9 g/cm³. For the energy, the calculation gives -15.47 eV per formula unit. The density of states at the Fermi level is 2.7 states/eV per cell.

***

# 2
VASP calculation (PBE) on LaNd2Sm2Dy after structural relaxation.

The structure belongs to space group Pnnm (No. 58); the cell edges are 6.719, 18.175 and 3.449 Å and the angles 90.00°, 90.00° and 90.00°. The distinct sites, in fractional coordinates, are La at (0.000, 0.000, 0.000), Nd at (0.224, 0.185, 0.000), Sm at (0.219, 0.352, 0.500) and Dy at (0.000, 0.500, 0.000).

Its formation energy is 0.24 eV per atom. As for the density: 7.0 g/cm³. For the energy, the calculation gives -27.04 eV per formula unit. The density of states at the Fermi level is 22.5 states/eV per cell.

***

# 3
VASP calculation (PBE) on CdIn2Br after structural relaxation.

The structure belongs to space group Fm-3m (No. 225); the cell edges are 7.754, 7.754 and 7.754 Å and the angles 90.00°, 90.00° and 90.00°. The distinct sites, in fractional coordinates, are Cd at (0.000, 0.000, 0.000), In at (0.250, 0.250, 0.250) and Br at (0.000, 0.000, 0.500).

As for the uncorrected formation energy: -8.3 kJ/mol of atoms. As for the density: 6.0 g/cm³. For the energy, the calculation gives -8.41 eV per formula unit. The density of states at the Fermi level is 13.6 states/eV per cell. Its energy above the most stable polymorph in this dataset is 125 meV per atom.

***

# 4
VASP calculation (PBE) on Tl2SiSb after structural relaxation.

The structure belongs to space group I4/mmm (No. 139); the cell edges are 4.453, 4.453 and 10.836 Å and the angles 90.00°, 90.00° and 90.00°. The distinct sites, in fractional coordinates, are Tl at (0.000, 0.500, 0.250), Si at (0.000, 0.000, 0.000) and Sb at (0.000, 0.000, 0.500).

As for the uncorrected formation energy: 35.7 kJ/mol of atoms. As for the density: 8.6 g/cm³. For the energy, the calculation gives -12.80 eV per formula unit. The density of states at the Fermi level is 4.8 states/eV per cell. Its energy above the most stable polymorph in this dataset is 219 meV per atom.

***

# 5
VASP calculation (PBE) on Ga2PbSe after structural relaxation.

The structure belongs to space group R-3m (No. 166, hexagonal axes); the cell edges are 3.6686, 3.6686 and 28.0566 Å and the angles 90.00°, 90.00° and 120.00°. The distinct sites, in fractional coordinates, are Ga at (0.0000, 0.0000, 0.1056), Pb at (0.0000, 0.0000, 0.0000) and Se at (0.0000, 0.0000, 0.5000).

As for the uncorrected formation energy: -6.5 kJ/mol of atoms. As for the density: 6.5 g/cm³. For the energy, the calculation gives -13.52 eV per formula unit. The density of states at the Fermi level is 6.8 states/eV per cell. Its energy above the most stable polymorph in this dataset is 51 meV per atom.

***

# 6
VASP calculation (PBE) on BeCoGe after structural relaxation.

The structure belongs to space group I4mm (No. 107); the cell edges are 2.716, 2.716 and 11.419 Å and the angles 90.00°, 90.00° and 90.00°. The distinct sites, in fractional coordinates, are Be at (0.000, 0.000, 0.000), Co at (0.000, 0.000, 0.823) and Ge at (0.000, 0.000, 0.197).

Its formation energy is 0.44 eV per atom. As for the density: 5.5 g/cm³. For the energy, the calculation gives -14.12 eV per formula unit. The density of states at the Fermi level is 3.5 states/eV per cell. Its energy above the most stable polymorph in this dataset is 605 meV per atom.

***

# 7
VASP calculation (PBE) on Sm7PbS5 after structural relaxation.

The structure belongs to space group Cmcm (No. 63); the cell edges are 4.066, 13.281 and 24.167 Å and the angles 90.00°, 90.00° and 90.00°. The distinct sites, in fractional coordinates, are Sm at (0.000, 0.017, 0.250), Sm at (0.000, 0.136, 0.536), Sm at (0.000, 0.325, 0.171), Sm at (0.000, 0.408, 0.609), Pb at (0.000, 0.301, 0.750), S at (0.000, 0.043, 0.640), S at (0.000, 0.227, 0.069) and S at (0.000, 0.500, 0.000).

As for the uncorrected formation energy: -160.4 kJ/mol of atoms. As for the density: 7.2 g/cm³. For the energy, the calculation gives -78.99 eV per formula unit. The density of states at the Fermi level is 31.0 states/eV per cell.

***

# 8
VASP calculation (PBE) on Sr2AlAs after structural relaxation.

The structure belongs to space group Cmm2 (No. 35); the cell edges are 5.284, 5.293 and 8.945 Å and the angles 90.00°, 90.00° and 90.00°. The distinct sites, in fractional coordinates, are Sr at (0.000, 0.000, 0.000), Sr at (0.000, 0.500, 0.400), Al at (0.000, 0.500, 0.751) and As at (0.000, 0.000, 0.638).

Its formation energy is -0.32 eV per atom. As for the density: 3.7 g/cm³. For the energy, the calculation gives -13.05 eV per formula unit. The density of states at the Fermi level is 3.8 states/eV per cell. Its energy above the most stable polymorph in this dataset is 330 meV per atom.

***

# 9
VASP calculation (PBE) on Cs2PrPuO6 after structural relaxation.

The structure belongs to space group Fm-3m (No. 225); the cell edges are 8.974, 8.974 and 8.974 Å and the angles 90.00°, 90.00° and 90.00°. The distinct sites, in fractional coordinates, are Cs at (0.250, 0.250, 0.250), Pr at (0.000, 0.000, 0.000), Pu at (0.000, 0.000, 0.500) and O at (0.000, 0.000, 0.272).

As for the uncorrected formation energy: -235.9 kJ/mol of atoms. As for the density: 6.9 g/cm³. For the energy, the calculation gives -75.02 eV per formula unit.

***

# 10
VASP calculation (PBE) on KRbAu10 after structural relaxation.

The structure belongs to space group Pmmm (No. 47); the cell edges are 4.585, 5.798 and 10.100 Å and the angles 90.00°, 90.00° and 90.00°. The distinct sites, in fractional coordinates, are K at (0.000, 0.000, 0.000), Rb at (0.000, 0.500, 0.500), Au at (0.000, 0.000, 0.331), Au at (0.000, 0.500, 0.163), Au at (0.500, 0.000, 0.500), Au at (0.500, 0.249, 0.248) and Au at (0.500, 0.500, 0.000).

Its formation energy is -0.20 eV per atom. As for the density: 13.0 g/cm³. For the energy, the calculation gives -37.26 eV per formula unit. The density of states at the Fermi level is 2.6 states/eV per cell.

***

# 11
VASP calculation (PBE) on RbLiY2O after structural relaxation.

The structure belongs to space group P4/mmm (No. 123); the cell edges are 5.945, 5.945 and 4.509 Å and the angles 90.00°, 90.00° and 90.00°. The distinct sites, in fractional coordinates, are Rb at (0.000, 0.000, 0.000), Li at (0.500, 0.500, 0.500), Y at (0.000, 0.500, 0.000) and O at (0.000, 0.000, 0.500).

As for the uncorrected formation energy: 90.2 kJ/mol of atoms. As for the density: 3.0 g/cm³. For the energy, the calculation gives -16.09 eV per formula unit. The density of states at the Fermi level is 4.3 states/eV per cell.

***

# 12
VASP calculation (PBE) on Rb3Np3Te8Pb after structural relaxation.

The structure belongs to space group R-3m (No. 166, hexagonal axes); the cell edges are 9.1088, 9.1088 and 25.6035 Å and the angles 90.00°, 90.00° and 120.00°. The distinct sites, in fractional coordinates, are Rb at (0.0000, 0.5000, 0.0000), Np at (0.0000, 0.5000, 0.5000), Te at (0.0000, 0.0000, 0.2330), Te at (0.0215, 0.5107, 0.7665) and Pb at (0.0000, 0.0000, 0.5000).

As for the uncorrected formation energy: -75.1 kJ/mol of atoms. As for the density: 5.9 g/cm³. For the energy, the calculation gives -82.25 eV per formula unit. The density of states at the Fermi level is 85.1 states/eV per cell.

***

# 13
VASP calculation (PBE) on BeZn2CdAu4 after structural relaxation.

The structure belongs to space group R-3m (No. 166, hexagonal axes); the cell edges are 4.4756, 4.4756 and 22.8127 Å and the angles 90.00°, 90.00° and 120.00°. The distinct sites, in fractional coordinates, are Be at (0.0000, 0.0000, 0.0000), Zn at (0.0000, 0.0000, 0.2464), Cd at (0.0000, 0.0000, 0.5000), Au at (0.0000, 0.0000, 0.1077) and Au at (0.0000, 0.0000, 0.3654).

Its formation energy is -0.14 eV per atom. As for the density: 13.1 g/cm³. For the energy, the calculation gives -21.44 eV per formula unit. The density of states at the Fermi level is 5.4 states/eV per cell.

***

# 14
VASP calculation (PBE) on Li6Mg12Al after structural relaxation.

The structure belongs to space group R-3 (No. 148, hexagonal axes); the cell edges are 10.4071, 10.4071 and 12.9365 Å and the angles 90.00°, 90.00° and 120.00°. The distinct sites, in fractional coordinates, are Li at (0.0348, 0.5956, 0.2014), Mg at (0.0282, 0.8422, 0.3168), Mg at (0.0612, 0.2137, 0.9116) and Al at (0.0000, 0.0000, 0.5000).

Its formation energy is -0.03 eV per atom. As for the density: 1.5 g/cm³. For the energy, the calculation gives -34.86 eV per formula unit. The density of states at the Fermi level is 17.9 states/eV per cell. Its energy above the most stable polymorph in this dataset is 0 meV per atom.

***

# 15
VASP calculation (PBE) on Ga2AgPd after structural relaxation.

The structure belongs to space group P4/mmm (No. 123); the cell edges are 3.106, 3.106 and 6.785 Å and the angles 90.00°, 90.00° and 90.00°. The distinct sites, in fractional coordinates, are Ga at (0.000, 0.000, 0.229), Ag at (0.500, 0.500, 0.500) and Pd at (0.500, 0.500, 0.000).

Its formation energy is -0.25 eV per atom. As for the density: 9.0 g/cm³. For the energy, the calculation gives -15.11 eV per formula unit. The density of states at the Fermi level is 1.1 states/eV per cell. Its energy above the most stable polymorph in this dataset is 0 meV per atom.

***

# 16
VASP calculation (PBE) on Pr4Tc after structural relaxation.

The structure belongs to space group Pm-3m (No. 221); the cell edges are 5.581, 5.581 and 5.581 Å and the angles 90.00°, 90.00° and 90.00°. The distinct sites, in fractional coordinates, are Pr at (0.000, 0.000, 0.000), Pr at (0.000, 0.500, 0.500) and Tc at (0.500, 0.500, 0.500).

Its formation energy is 0.21 eV per atom. As for the density: 6.3 g/cm³. For the energy, the calculation gives -28.45 eV per formula unit. The density of states at the Fermi level is 8.0 states/eV per cell.

***

# 17
VASP calculation (PBE) on LaIrOs2 after structural relaxation.

The structure belongs to space group Immm (No. 71); the cell edges are 2.857, 4.809 and 10.487 Å and the angles 90.00°, 90.00° and 90.00°. The distinct sites, in fractional coordinates, are La at (0.000, 0.000, 0.000), Ir at (0.000, 0.000, 0.500) and Os at (0.000, 0.500, 0.221).

Its formation energy is 0.36 eV per atom. As for the density: 16.4 g/cm³. For the energy, the calculation gives -34.80 eV per formula unit. The density of states at the Fermi level is 7.7 states/eV per cell. Its energy above the most stable polymorph in this dataset is 169 meV per atom.

***

# 18
VASP calculation (PBE) on NdAl12Ni4 after structural relaxation.

The structure belongs to space group Im-3 (No. 204); the cell edges are 8.696, 8.696 and 8.696 Å and the angles 90.00°, 90.00° and 90.00°. The distinct sites, in fractional coordinates, are Nd at (0.000, 0.000, 0.000), Al at (0.000, 0.213, 0.327) and Ni at (0.250, 0.250, 0.250).

Its formation energy is -0.12 eV per atom. As for the density: 3.5 g/cm³. For the energy, the calculation gives -74.86 eV per formula unit. The density of states at the Fermi level is 23.2 states/eV per cell.

***

# 19
VASP calculation (PBE) on Pa2Co2Cu3 after structural relaxation.

The structure belongs to space group C2/m (No. 12); the cell edges are 8.685, 4.159 and 6.218 Å and the angles 90.00°, 99.79° and 90.00°. The distinct sites, in fractional coordinates, are Pa at (0.116, 0.000, 0.346), Co at (0.117, 0.500, 0.664), Cu at (0.000, 0.500, 0.000) and Cu at (0.201, 0.000, 0.897).

Its formation energy is -0.19 eV per atom. As for the density: 11.6 g/cm³. For the energy, the calculation gives -46.81 eV per formula unit. The density of states at the Fermi level is 10.3 states/eV per cell.

***

# 20
VASP calculation (PBE) on NiRuBr after structural relaxation.

The structure belongs to space group F-43m (No. 216); the cell edges are 5.919, 5.919 and 5.919 Å and the angles 90.00°, 90.00° and 90.00°. The distinct sites, in fractional coordinates, are Ni at (0.000, 0.000, 0.000), Ru at (0.250, 0.250, 0.250) and Br at (0.000, 0.000, 0.500).

As for the uncorrected formation energy: 80.0 kJ/mol of atoms. As for the density: 7.7 g/cm³. For the energy, the calculation gives -14.24 eV per formula unit. The density of states at the Fermi level is 16.8 states/eV per cell. Its energy above the most stable polymorph in this dataset is 167 meV per atom.